The following is a DFT calculation (PBE) of a relaxed Na2PaInCl8 crystal.

Calculated values
- DOS at the Fermi energy: 1.0 states/eV per cell
- ΔE_f (raw): -1.624 eV/atom
- Symmetry: P-1, No. 2
- Magnetic moment: 0.0049 μB/atom

The structure in POSCAR format:
```
Na2PaInCl8
1.0
6.6226 0.1130 0.2917
0.1418 6.7178 0.3001
0.4180 0.4362 9.4037
Na Pa In Cl
2 1 1 8
Direct
0.4494 0.4562 0.6955
0.5506 0.5438 0.3045
0.0000 0.0000 0.0000
0.0000 0.0000 0.5000
0.1988 0.8150 0.1958
0.7439 0.7200 0.0299
0.7933 0.1771 0.1972
0.8012 0.1850 0.8042
0.2561 0.2800 0.9701
0.2067 0.8229 0.8028
0.6978 0.6874 0.5242
0.3022 0.3126 0.4758
```


The following is a DFT calculation (PBE) of a relaxed InMo2Pt crystal.

Calculated values
- DOS at the Fermi energy: 3.9 states/eV per cell
- Symmetry: R-3m, No. 166
- DFT formation energy: 0.232 eV/atom
- Magnetic moment: 0.0000 μB/atom

The structure in POSCAR format:
```
InMo2Pt
1.0
-3.4941 8.5274 -2.5279
-5.0592 8.1056 -0.1416
-2.4161 9.2453 0.0497
In Mo Pt
1 2 1
Direct
0.7500 0.7500 0.7500
0.9962 0.9962 0.9962
0.5038 0.5038 0.5038
0.2500 0.2500 0.2500
```


The following is a DFT calculation (PBE) of a relaxed Pr6Dy5Mg crystal.

Calculated values
- DOS at the Fermi energy: 16.6 states/eV per cell
- Symmetry: Immm, No. 71
- DFT formation energy: 0.014 eV/atom
- Magnetic moment: 0.0000 μB/atom

The structure in POSCAR format:
```
Pr6Dy5Mg
1.0
-5.0085 -0.6390 -1.0299
4.2436 1.1885 -8.4875
2.9627 -8.3295 3.6469
Pr Mg Dy
6 1 5
Direct
0.2470 0.0803 0.4133
0.7530 0.5867 0.9197
0.7464 0.2467 0.2467
0.2536 0.7533 0.7533
0.2470 0.4133 0.0803
0.7530 0.9197 0.5867
0.0000 0.0000 0.0000
0.5000 0.1702 0.8298
0.0000 0.3356 0.6644
0.5000 0.5000 0.5000
0.0000 0.6644 0.3356
0.5000 0.8298 0.1702
```


The following is a DFT calculation (PBE) of a relaxed Cu2Te4Au crystal.

Calculated values
- DOS at the Fermi energy: 4.3 states/eV per cell
- ΔE_f (raw): 0.032 eV/atom
- Symmetry: I4/m, No. 87
- Magnetic moment: 0.0000 μB/atom

The structure in POSCAR format:
```
Cu2Te4Au
1.0
6.5846 -0.7529 0.0000
-3.8302 5.4086 0.0000
-1.3772 -2.3278 6.0504
Cu Te Au
2 4 1
Direct
0.2500 0.7500 0.5000
0.7500 0.2500 0.5000
0.3556 0.2132 0.5688
0.7868 0.3556 0.1424
0.2132 0.6444 0.8576
0.6444 0.7868 0.4312
0.5000 0.5000 0.0000
```


The following is a DFT calculation (PBE) of a relaxed Dy2TeSe crystal.

Calculated values
- DOS at the Fermi energy: 1.3 states/eV per cell
- ΔE_f (raw): -1.533 eV/atom
- Symmetry: R-3m, No. 166
- Magnetic moment: 0.0000 μB/atom

The structure in POSCAR format:
```
Dy2TeSe
1.0
4.2093 -0.0027 -0.0041
-2.1058 3.6447 0.0041
-2.0999 -1.2156 6.9350
Dy Te Se
2 1 1
Direct
0.5243 0.2620 0.7864
0.4757 0.7379 0.2136
0.0000 0.5000 0.5000
0.0000 0.0000 0.0000
```


The following is a DFT calculation (PBE) of a relaxed Ag5PbO4 crystal.

Calculated values
- DOS at the Fermi energy: 2.0 states/eV per cell
- ΔE_f (raw): -0.256 eV/atom
- Symmetry: Pmmn, No. 59
- Magnetic moment: 0.0000 μB/atom

The structure in POSCAR format:
```
Ag5PbO4
1.0
-0.3037 -0.4890 3.5822
8.6092 -2.4476 0.3958
2.7262 9.8439 1.5748
Ag Pb O
10 2 8
Direct
0.2521 0.6750 0.8466
0.2521 0.3250 0.8466
0.7513 0.5000 0.0000
0.2521 0.6750 0.1534
0.2521 0.3250 0.1534
0.7479 0.8250 0.3466
0.7479 0.1750 0.3466
0.2487 0.0000 0.5000
0.7479 0.1750 0.6534
0.7479 0.8250 0.6534
0.7868 0.0000 0.0000
0.2132 0.5000 0.5000
0.8177 0.0000 0.7842
0.2897 0.8337 0.0000
0.2897 0.1663 0.0000
0.8177 0.0000 0.2158
0.1823 0.5000 0.2842
0.7103 0.6663 0.5000
0.7103 0.3337 0.5000
0.1823 0.5000 0.7158
```